# 1
# OsPtRh, relaxed, DFT GGA-PBEsol
data_OsPtRh
_cell_length_a 4.1601
_cell_length_b 4.1601
_cell_length_c 4.1601
_cell_angle_alpha 60.00
_cell_angle_beta 60.00
_cell_angle_gamma 60.00
_space_group_name_H-M_alt 'P 1'
_space_group_IT_number 1
_space_group_name_Hall 'P 1'
loop_
_atom_site_label
_atom_site_fract_x
_atom_site_fract_y
_atom_site_fract_z
_atom_site_occupancy
Os1 0.0000 0.0000 0.0000 1
Pt1 0.7500 0.7500 0.7500 1
Rh1 0.2500 0.2500 0.2500 1
# Crystal system ... cubic
# Space group ... F-43m (216)
# Calculated formation energy ... 766 meV/atom

***

# 2
# OsPt2Rh, relaxed, DFT GGA-PBEsol
data_OsPt2Rh
_cell_length_a 4.7118
_cell_length_b 4.7118
_cell_length_c 4.7298
_cell_angle_alpha 99.33
_cell_angle_beta 99.33
_cell_angle_gamma 33.50
_space_group_name_H-M_alt 'P 1'
_space_group_IT_number 1
_space_group_name_Hall 'P 1'
loop_
_atom_site_label
_atom_site_fract_x
_atom_site_fract_y
_atom_site_fract_z
_atom_site_occupancy
Os1 0.0000 0.0000 0.0000 1
Pt1 0.2511 0.2511 0.7498 1
Pt2 0.4966 0.4966 0.4918 1
Rh1 0.7434 0.7434 0.2328 1
# Crystal system ... monoclinic
# Space group ... Cm (8)
# Calculated formation energy ... 31 meV/atom

***

# 3
# OsPt2Rh, relaxed, DFT GGA-PBEsol
data_OsPt2Rh
_cell_length_a 3.8505
_cell_length_b 3.8505
_cell_length_c 3.8566
_cell_angle_alpha 90.00
_cell_angle_beta 90.00
_cell_angle_gamma 90.00
_space_group_name_H-M_alt 'P 1'
_space_group_IT_number 1
_space_group_name_Hall 'P 1'
loop_
_atom_site_label
_atom_site_fract_x
_atom_site_fract_y
_atom_site_fract_z
_atom_site_occupancy
Os1 0.0000 0.0000 0.0000 1
Pt1 0.0000 0.5000 0.5000 1
Pt2 0.5000 0.0000 0.5000 1
Rh1 0.5000 0.5000 0.0000 1
# Crystal system ... tetragonal
# Space group ... P4/mmm (123)
# Calculated formation energy ... 135 meV/atom

***

# 4
# OsPtRh2, relaxed, DFT GGA-PBEsol
data_OsPtRh2
_cell_length_a 8.9986
_cell_length_b 8.9986
_cell_length_c 8.9986
_cell_angle_alpha 17.24
_cell_angle_beta 17.24
_cell_angle_gamma 17.24
_space_group_name_H-M_alt 'P 1'
_space_group_IT_number 1
_space_group_name_Hall 'P 1'
loop_
_atom_site_label
_atom_site_fract_x
_atom_site_fract_y
_atom_site_fract_z
_atom_site_occupancy
Os1 0.0000 0.0000 0.0000 1
Pt1 0.5000 0.5000 0.5000 1
Rh1 0.2530 0.2530 0.2530 1
Rh2 0.7470 0.7470 0.7470 1
# Crystal system ... trigonal
# Space group ... R-3m (166)
# Calculated formation energy ... -24 meV/atom

***

no.,relative energy among the computed polymorphs (meV per atom)
1,754
2,45
3,149
4,18